## Ca2ZnW (GGA-PBE)

Data for a relaxed Ca2ZnW crystal.

The structure in extended XYZ format:
```
4
Lattice="-2.6714 3.0148 -4.0705 -0.4257 -5.6816 -0.5761 -2.4901 0.0187 1.6469" Properties=species:S:1:pos:R:3 pbc="T T T"
Zn -1.4579 -2.8314 0.5354
Ca 0.0000 0.0000 0.0000
Ca -1.5485 -1.3334 -2.3233
W -2.5807 1.5168 -1.2118
```

Values from the calculation:
Calculated formation energy: 685 meV per atom
Symmetry: Cmmm
Calculated total energy: -3.873 eV per atom
Density of states at the Fermi level: 3.3 states/eV/cell